Material: RhPb2O5
Method: DFT, PBE
State: optimized geometry

Cell: 5.872 5.872 8.823 Å, 90.00 90.00 90.00°
Space group I4mm (No. 107)
Unique sites:
Rh 0.000 0.000 0.000
Pb 0.000 0.500 0.303
O 0.000 0.000 0.202
O 0.223 0.223 0.938

Values from the calculation:
The calculation puts the size of the total moment at 1.02 μB per formula unit. The calculation puts the formation energy from raw total energies at -5.6 eV/f.u. Its final energy is -90.33 eV/cell. As for the distance to the lowest polymorph of the same formula: 6.6 kJ per mole of atoms.